Record 1
Below is an optimized crystal structure of Ce2PuS4, with properties calculated at the PBE level. Values from VASP.

Output
The value obtained for the uncorrected formation energy is -1873.7 meV per atom. As for the electronic total energy: -7.9750 eV/atom. The calculated volume comes out at 346 Å³/cell. As for the magnetization: 15.06 μB/cell.

Structure (Quantum ESPRESSO input):
```
&SYSTEM
  ibrav = 0, nat = 14, ntyp = 3
/
ATOMIC_SPECIES
S 32.06 S.upf
Pu 244.00 Pu.upf
Ce 140.12 Ce.upf
CELL_PARAMETERS angstrom
3.941 0.000 0.000
-1.971 6.677 0.000
0.000 0.000 13.158
ATOMIC_POSITIONS crystal
S 0.225 0.450 0.625
S 0.973 0.947 0.750
S 0.027 0.053 0.250
S 0.500 0.000 0.500
S 0.775 0.550 0.375
S 0.225 0.450 0.875
S 0.500 0.000 0.000
S 0.775 0.550 0.125
Pu 0.621 0.242 0.750
Pu 0.379 0.758 0.250
Ce 0.132 0.264 0.070
Ce 0.132 0.264 0.430
Ce 0.868 0.736 0.930
Ce 0.868 0.736 0.570
```

***

Record 2
Below is an optimized crystal structure of Ce2Pu2S5, with properties calculated at the PBE level. Values from VASP.

Output
The value obtained for the uncorrected formation energy is -1854.4 meV per atom. As for the electronic total energy: -8.6509 eV/atom. The calculated volume comes out at 400 Å³/cell. As for the magnetization: 28.03 μB/cell.

Structure (Quantum ESPRESSO input):
```
&SYSTEM
  ibrav = 0, nat = 18, ntyp = 3
/
ATOMIC_SPECIES
S 32.06 S.upf
Ce 140.12 Ce.upf
Pu 244.00 Pu.upf
CELL_PARAMETERS angstrom
-2.705 1.086 -6.945
-2.542 -7.561 -0.192
-4.432 6.072 2.675
ATOMIC_POSITIONS crystal
S 0.500 0.500 0.500
S 0.845 0.798 0.523
S 0.655 0.298 0.023
S 0.345 0.977 0.702
S 0.845 0.523 0.798
S 0.655 0.023 0.298
S 0.155 0.202 0.477
S 0.155 0.477 0.202
S 0.345 0.702 0.977
S 0.000 0.000 0.000
Ce 0.500 0.697 0.303
Ce 0.000 0.803 0.197
Ce 0.000 0.197 0.803
Ce 0.500 0.303 0.697
Pu 0.845 0.347 0.347
Pu 0.155 0.653 0.653
Pu 0.655 0.847 0.847
Pu 0.345 0.153 0.153
```

***

Record 3
Below is an optimized crystal structure of Ce3PuS4, with properties calculated at the PBE level. Values from VASP.

Output
The value obtained for the uncorrected formation energy is -1978.7 meV per atom. As for the electronic total energy: -8.0592 eV/atom. The polymorph energy (0 for the lowest one) comes out at 0.0 meV per atom. The calculated volume comes out at 362 Å³/cell. As for the magnetization: 9.71 μB/cell.

Structure (Quantum ESPRESSO input):
```
&SYSTEM
  ibrav = 0, nat = 16, ntyp = 3
/
ATOMIC_SPECIES
S 32.06 S.upf
Ce 140.12 Ce.upf
Pu 244.00 Pu.upf
CELL_PARAMETERS angstrom
6.918 0.061 0.000
-2.368 6.511 0.000
0.000 0.000 8.007
ATOMIC_POSITIONS crystal
S 0.498 0.248 0.372
S 0.000 0.755 0.878
S 0.998 0.248 0.628
S 0.002 0.752 0.372
S 0.500 0.755 0.122
S 0.502 0.752 0.628
S 0.000 0.245 0.122
S 0.500 0.245 0.878
Ce 0.750 0.500 0.624
Ce 0.250 0.500 0.876
Ce 0.250 0.500 0.376
Ce 0.750 0.500 0.124
Ce 0.250 0.000 0.624
Ce 0.750 0.000 0.376
Pu 0.250 0.000 0.124
Pu 0.750 0.000 0.876
```

***

Record 4
Below is an optimized crystal structure of CePuS4, with properties calculated at the PBE level. Values from VASP.

Output
The value obtained for the uncorrected formation energy is -1576.6 meV per atom. As for the electronic total energy: -7.7058 eV/atom. The polymorph energy (0 for the lowest one) comes out at 0.0 meV per atom. The calculated volume comes out at 138 Å³/cell. As for the magnetization: 4.00 μB/cell.

Structure (Quantum ESPRESSO input):
```
&SYSTEM
  ibrav = 0, nat = 6, ntyp = 3
/
ATOMIC_SPECIES
S 32.06 S.upf
Ce 140.12 Ce.upf
Pu 244.00 Pu.upf
CELL_PARAMETERS angstrom
4.592 0.228 -0.071
-0.228 4.592 -0.071
0.094 0.104 6.508
ATOMIC_POSITIONS crystal
S 0.500 0.500 0.745
S 0.000 0.000 0.255
S 0.500 0.500 0.255
S 0.000 0.000 0.745
Ce 0.500 0.000 0.000
Pu 0.000 0.500 0.500
```

***

Q: Look up the magnetization of the first one.
A: 15.06 μB/cell